No. 1
! Sm2Sn5, relaxed, DFT PBE; values from VASP
! - theoretical density (g cm⁻³) = 7.89
! - V (Å³ per cell) = 376.5
! - energy relative to the elements (eV per atom) = -0.56
! - magnetic moment (μB per formula unit) = 0.000
! - electronic total energy (eV for the cell shown) = -66.71
&SYSTEM
  ibrav = 0, nat = 14, ntyp = 2
/
ATOMIC_SPECIES
Sn 118.71 Sn.upf
Sm 150.36 Sm.upf
ATOMIC_POSITIONS crystal
Sn 0.427 0.573 0.000
Sn 0.278 0.722 0.000
Sn 0.140 0.860 0.000
Sn 0.360 0.640 0.500
Sn 0.500 0.500 0.500
Sn 0.573 0.427 0.000
Sn 0.640 0.360 0.500
Sn 0.860 0.140 0.000
Sn 0.722 0.278 0.000
Sn 0.000 0.000 0.000
Sm 0.204 0.796 0.500
Sm 0.796 0.204 0.500
Sm 0.931 0.069 0.500
Sm 0.069 0.931 0.500
CELL_PARAMETERS angstrom
-11.163 -14.046 -1.423
14.352 10.767 1.425
-0.265 -0.255 4.596



No. 2
! Sm4Sn3, relaxed, DFT PBE; values from VASP
! - theoretical density (g cm⁻³) = 7.07
! - E above lowest polymorph (meV per atom) = 255.1
! - V (Å³ per cell) = 224.8
! - energy relative to the elements (eV per atom) = -0.49
! - magnetic moment (μB per formula unit) = 0.000
! - electronic total energy (eV for the cell shown) = -34.32
&SYSTEM
  ibrav = 0, nat = 7, ntyp = 2
/
ATOMIC_SPECIES
Sm 150.36 Sm.upf
Sn 118.71 Sn.upf
ATOMIC_POSITIONS crystal
Sm 0.437 0.437 0.874
Sm 0.563 0.563 0.126
Sm 0.823 0.823 0.646
Sm 0.177 0.177 0.354
Sn 0.312 0.312 0.623
Sn 0.688 0.688 0.377
Sn 0.000 0.000 0.000
CELL_PARAMETERS angstrom
4.360 0.000 0.000
0.000 4.360 0.000
-2.180 -2.180 11.829



No. 3
! Sm3Sn5, relaxed, DFT PBE; values from VASP
! - theoretical density (g cm⁻³) = 7.91
! - E above lowest polymorph (meV per atom) = 11.0
! - V (Å³ per cell) = 219.3
! - energy relative to the elements (eV per atom) = -0.62
! - magnetic moment (μB per formula unit) = 0.000
! - electronic total energy (eV for the cell shown) = -39.12
&SYSTEM
  ibrav = 0, nat = 8, ntyp = 2
/
ATOMIC_SPECIES
Sn 118.71 Sn.upf
Sm 150.36 Sm.upf
ATOMIC_POSITIONS crystal
Sn 0.998 0.498 0.996
Sn 0.502 0.002 0.004
Sn 0.629 0.629 0.257
Sn 0.750 0.250 0.500
Sn 0.371 0.371 0.743
Sm 0.891 0.891 0.782
Sm 0.109 0.109 0.218
Sm 0.250 0.750 0.500
CELL_PARAMETERS angstrom
-0.349 4.636 0.178
-3.180 -0.109 -3.394
-5.589 -3.083 8.526